Entry 1:
A plane-wave DFT calculation with GGA-PBE was carried out for an optimized crystal structure of Zr2V3Ge4.

The structure in POSCAR format:
```
Zr2V3Ge4
1.0
6.657 0.000 0.000
0.000 12.815 0.000
0.000 0.000 6.771
Zr V Ge
8 12 16
direct
0.011 0.092 0.172
0.011 0.408 0.172
0.489 0.592 0.672
0.489 0.908 0.672
0.511 0.092 0.328
0.511 0.408 0.328
0.989 0.592 0.828
0.989 0.908 0.828
0.161 0.625 0.339
0.161 0.875 0.339
0.163 0.250 0.510
0.337 0.750 0.010
0.339 0.125 0.839
0.339 0.375 0.839
0.661 0.625 0.161
0.661 0.875 0.161
0.663 0.250 0.990
0.837 0.750 0.490
0.839 0.125 0.661
0.839 0.375 0.661
0.033 0.250 0.873
0.177 0.043 0.547
0.177 0.457 0.547
0.191 0.750 0.644
0.309 0.250 0.144
0.323 0.543 0.047
0.323 0.957 0.047
0.467 0.750 0.373
0.533 0.250 0.627
0.677 0.043 0.953
0.677 0.457 0.953
0.691 0.750 0.856
0.809 0.250 0.356
0.823 0.543 0.453
0.823 0.957 0.453
0.967 0.750 0.127
```

## Properties
- ρ (g cm⁻³) = 7.20
- final energy (eV per atom) = -7.607
- energy above the most stable polymorph in this dataset (kJ/mol of formula units) = 2

***

Entry 2:
A plane-wave DFT calculation with GGA-PBE was carried out for an optimized crystal structure of TaCoSe2.

The structure in POSCAR format:
```
TaCoSe2
1.0
4.251 -1.734 0.000
4.251 1.734 0.000
-0.508 0.000 6.541
Ta Co Se
1 1 2
direct
0.000 0.000 0.000
0.708 0.708 0.048
0.280 0.280 0.809
0.527 0.527 0.292
```

## Properties
- ρ (g cm⁻³) = 6.85
- final energy (eV per atom) = -6.705

***

Entry 3:
A plane-wave DFT calculation with GGA-PBE was carried out for an optimized crystal structure of Tl2WS2.

The structure in POSCAR format:
```
Tl2WS2
1.0
-1.697 1.697 9.488
1.697 -1.697 9.488
1.697 1.697 -9.488
Tl W S
2 1 2
direct
0.090 0.090 0.000
0.910 0.910 0.000
0.500 0.500 0.000
0.250 0.750 0.500
0.750 0.250 0.500
```

## Properties
- ρ (g cm⁻³) = 9.98
- final energy (eV per atom) = -4.283
- energy above the most stable polymorph in this dataset (kJ/mol of formula units) = 0

***

Entry 4:
A plane-wave DFT calculation with GGA-PBE was carried out for an optimized crystal structure of CaTcRhS2.

The structure in POSCAR format:
```
CaTcRhS2
1.0
4.832 0.000 0.000
0.000 4.832 0.000
0.000 0.000 4.653
Ca Tc Rh S
1 1 1 2
direct
0.000 0.000 0.000
0.500 0.500 0.000
0.500 0.500 0.500
0.000 0.500 0.500
0.500 0.000 0.500
```

## Properties
- ρ (g cm⁻³) = 4.66
- final energy (eV per atom) = -5.350

***

Entry 5:
A plane-wave DFT calculation with GGA-PBE was carried out for an optimized crystal structure of ZrZn2Pt.

The structure in POSCAR format:
```
ZrZn2Pt
1.0
1.494 0.863 8.930
-1.494 0.863 8.930
0.000 -1.725 8.930
Zr Zn Pt
1 2 1
direct
0.000 0.000 0.000
0.242 0.242 0.242
0.758 0.758 0.758
0.500 0.500 0.500
```

## Properties
- ρ (g cm⁻³) = 10.03
- final energy (eV per atom) = -4.512

***

Entry 6:
A plane-wave DFT calculation with GGA-PBE was carried out for an optimized crystal structure of KMnZn2.

The structure in POSCAR format:
```
KMnZn2
1.0
4.438 -1.465 0.000
4.438 1.465 0.000
-0.851 0.000 7.059
K Mn Zn
1 1 2
direct
0.000 0.000 0.000
0.500 0.500 0.500
0.230 0.230 0.653
0.770 0.770 0.347
```

## Properties
- ρ (g cm⁻³) = 4.07
- final energy (eV per atom) = -2.837
- energy above the most stable polymorph in this dataset (kJ/mol of formula units) = 35

***

Entry 7:
A plane-wave DFT calculation with GGA-PBE was carried out for an optimized crystal structure of CrFe2Sb.

The structure in POSCAR format:
```
CrFe2Sb
1.0
1.482 0.856 7.626
-1.482 0.856 7.626
0.000 -1.712 7.626
Cr Fe Sb
1 2 1
direct
0.000 0.000 0.000
0.260 0.260 0.260
0.740 0.740 0.740
0.500 0.500 0.500
```

## Properties
- ρ (g cm⁻³) = 8.17
- final energy (eV per atom) = -7.111

***

Entry 8:
A plane-wave DFT calculation with GGA-PBE was carried out for an optimized crystal structure of LiGdDyCr.

The structure in POSCAR format:
```
LiGdDyCr
1.0
0.000 3.603 3.603
3.603 0.000 3.603
3.603 3.603 0.000
Li Gd Dy Cr
1 1 1 1
direct
0.000 0.000 0.000
0.250 0.250 0.250
0.750 0.750 0.750
0.500 0.500 0.500
```

## Properties
- ρ (g cm⁻³) = 6.72
- final energy (eV per atom) = -7.387